(one)
The following is a GGA-PBE calculation of a geometry-optimized LiTcTe2 structure, from Alexandria.

## Properties
- Density: 6.78 g/cm3
- Magnetic moment: 0.00 μB/cell

Cell: 7.638 3.515 6.727 Å, 90.00 102.41 90.00°
Space group C2/m (No. 12)
Unique sites:
Li (0.000, 0.000, 0.000)
Tc (0.000, 0.500, 0.500)
Te (0.240, 0.000, 0.721)

(two)
The following is a GGA-PBE calculation of a geometry-optimized LiTcTe2 structure, from Alexandria.

## Properties
- Density: 6.35 g/cm3
- Magnetic moment: 0.00 μB/cell

Cell: 8.564 3.445 6.580 Å, 90.00 104.13 90.00°
Space group Cm (No. 8)
Unique sites:
Li (0.000, 0.000, 0.000)
Tc (0.088, 0.000, 0.465)
Te (0.175, 0.500, 0.783)
Te (0.351, 0.000, 0.330)

(three)
The following is a GGA-PBE calculation of a geometry-optimized LiTcTe2 structure, from Alexandria.

## Properties
- Density: 6.87 g/cm3
- Magnetic moment: 0.00 μB/cell

Cell: 3.2807 3.2807 28.0196 Å, 90.00 90.00 120.00°
Space group R-3m (No. 166, hexagonal axes)
Unique sites:
Li (0.0000, 0.0000, 0.0000)
Tc (0.0000, 0.0000, 0.5000)
Te (0.0000, 0.0000, 0.4087)

The energy of each structure relative to the most stable one, in eV/atom, is as follows: (one) 0.000; (two) 0.015; (three) 0.527.

(one)
The following is a GGA-PBE calculation of a geometry-optimized LiTcTe3 structure, from Alexandria.

## Properties
- Density: 5.26 g/cm3
- Magnetic moment: 2.66 μB/cell

Cell: 5.359 5.359 5.359 Å, 90.00 90.00 90.00°
Space group Pm-3m (No. 221)
Unique sites:
Li (0.000, 0.000, 0.000)
Tc (0.500, 0.500, 0.500)
Te (0.000, 0.500, 0.500)

(two)
The following is a GGA-PBE calculation of a geometry-optimized LiTcTe3 structure, from Alexandria.

## Properties
- Density: 6.27 g/cm3
- Magnetic moment: 3.57 μB/cell

Cell: 5.055 5.055 5.055 Å, 90.00 90.00 90.00°
Space group Pm-3m (No. 221)
Unique sites:
Li (0.000, 0.000, 0.000)
Tc (0.500, 0.500, 0.500)
Te (0.000, 0.000, 0.500)

The energy of each structure relative to the most stable one, in eV/atom, is as follows: (one) 0.000; (two) 0.587.